Arrangement P

Below is Sn3SbP after structural relaxation, with properties calculated at the GGA-PBE level.

The structure in CIF format:
```
data_Sn3SbP
_cell_length_a 3.501
_cell_length_b 8.103
_cell_length_c 7.814
_cell_angle_alpha 121.23
_cell_angle_beta 90.00
_cell_angle_gamma 90.00
_symmetry_space_group_name_H-M 'P 1'
_symmetry_Int_Tables_number 1
_symmetry_space_group_name_Hall 'P 1'
loop_
_atom_site_label
_atom_site_type_symbol
_atom_site_fract_x
_atom_site_fract_y
_atom_site_fract_z
Sn1 Sn 0.500 0.389 0.172
Sn2 Sn 0.500 0.783 0.172
Sn3 Sn 0.000 0.760 0.521
Sb1 Sb 0.500 0.950 0.901
P1 P 0.000 0.489 0.979
```

Properties
The spin magnetization is 0.00 μB/f.u. As for the density of states at the Fermi level: 2.18 states/eV per cell. Its symmetry is Amm2 (38).

Arrangement Q

Below is Sn3SbP after structural relaxation, with properties calculated at the GGA-PBE level.

The structure in CIF format:
```
data_Sn3SbP
_cell_length_a 5.274
_cell_length_b 5.274
_cell_length_c 5.274
_cell_angle_alpha 90.00
_cell_angle_beta 90.00
_cell_angle_gamma 90.00
_symmetry_space_group_name_H-M 'P 1'
_symmetry_Int_Tables_number 1
_symmetry_space_group_name_Hall 'P 1'
loop_
_atom_site_label
_atom_site_type_symbol
_atom_site_fract_x
_atom_site_fract_y
_atom_site_fract_z
Sb1 Sb 0.500 0.500 0.500
Sn1 Sn 0.000 0.500 0.000
Sn2 Sn 0.000 0.000 0.500
Sn3 Sn 0.500 0.000 0.000
P1 P 0.000 0.000 0.000
```

Properties
The spin magnetization is 0.00 μB/f.u. As for the density of states at the Fermi level: 2.08 states/eV per cell. Its symmetry is Pm-3m (221).

arrangement P comes first in stability; the runner-up is 89 meV per atom higher.

Arrangement P

Below is SnSb2P after structural relaxation, with properties calculated at the GGA-PBE level.

The structure in CIF format:
```
data_SnSb2P
_cell_length_a 5.913
_cell_length_b 5.913
_cell_length_c 8.626
_cell_angle_alpha 69.96
_cell_angle_beta 69.96
_cell_angle_gamma 90.00
_symmetry_space_group_name_H-M 'P 1'
_symmetry_Int_Tables_number 1
_symmetry_space_group_name_Hall 'P 1'
loop_
_atom_site_label
_atom_site_type_symbol
_atom_site_fract_x
_atom_site_fract_y
_atom_site_fract_z
Sb1 Sb 0.577 0.125 0.250
Sb2 Sb 0.173 0.625 0.250
Sb3 Sb 0.375 0.423 0.750
Sb4 Sb 0.875 0.827 0.750
Sn1 Sn 0.000 0.000 0.000
Sn2 Sn 0.750 0.250 0.500
P1 P 0.500 0.500 0.000
P2 P 0.250 0.750 0.500
```

Properties
The spin magnetization is 0.00 μB/f.u. As for the density of states at the Fermi level: 2.31 states/eV per cell. Its symmetry is I-42d (122).

Arrangement Q

Below is SnSb2P after structural relaxation, with properties calculated at the GGA-PBE level.

The structure in CIF format:
```
data_SnSb2P
_cell_length_a 5.154
_cell_length_b 5.154
_cell_length_c 5.154
_cell_angle_alpha 60.00
_cell_angle_beta 60.00
_cell_angle_gamma 60.00
_symmetry_space_group_name_H-M 'P 1'
_symmetry_Int_Tables_number 1
_symmetry_space_group_name_Hall 'P 1'
loop_
_atom_site_label
_atom_site_type_symbol
_atom_site_fract_x
_atom_site_fract_y
_atom_site_fract_z
Sb1 Sb 0.250 0.250 0.250
Sb2 Sb 0.750 0.750 0.750
Sn1 Sn 0.500 0.500 0.500
P1 P 0.000 0.000 0.000
```

Properties
The spin magnetization is 0.00 μB/f.u. As for the density of states at the Fermi level: 3.42 states/eV per cell. Its symmetry is Fm-3m (225).

arrangement P comes first in stability; the runner-up is 119 meV per atom higher.